1) {
  "formula": "LiSn2P3O10",
  "functional": "GGA-PBE",
  "state": "relaxed",
  "lattice": [[-4.0186, 8.3570, -1.6423], [-3.7621, -2.3719, -2.8638], [-6.7873, -1.8863, 7.0094]],
  "species": ["O", "Li", "Sn", "O", "O", "O", "O", "O", "O", "Sn", "P", "P", "O", "O", "O", "Li", "O", "O", "P", "Sn", "P", "O", "Sn", "O", "O", "O", "O", "O", "O", "P", "P", "O"],
  "fractional_positions": [[0.2500, 0.4527, 0.2384], [0.0000, 0.0000, 0.0000], [0.9613, 0.9621, 0.3376], [0.8868, 0.3452, 0.5952], [0.6135, 0.8957, 0.8526], [0.3865, 0.1043, 0.1474], [0.1132, 0.6548, 0.4048], [0.1148, 0.2254, 0.8335], [0.8852, 0.7746, 0.1665], [0.0387, 0.0379, 0.6624], [0.7500, 0.6068, 0.1622], [0.7500, 0.7393, 0.8631], [0.7500, 0.7552, 0.5034], [0.8865, 0.8957, 0.8526], [0.6148, 0.7746, 0.1665], [0.5000, 0.0000, 0.0000], [0.7500, 0.5409, 0.0062], [0.2500, 0.4591, 0.9938], [0.2500, 0.5052, 0.3983], [0.5387, 0.9621, 0.3376], [0.7500, 0.4948, 0.6017], [0.6132, 0.3452, 0.5952], [0.4613, 0.0379, 0.6624], [0.3852, 0.2254, 0.8335], [0.7500, 0.5473, 0.7616], [0.2500, 0.6515, 0.7448], [0.1135, 0.1043, 0.1474], [0.3868, 0.6548, 0.4048], [0.2500, 0.2448, 0.4966], [0.2500, 0.3932, 0.8378], [0.2500, 0.2607, 0.1369], [0.7500, 0.3485, 0.2552]]
}

2) {
  "formula": "LiSn2P3O10",
  "functional": "GGA-PBE",
  "state": "relaxed",
  "lattice": [[-4.8409, 0.1244, -6.3163], [3.3558, -5.5438, -4.6206], [-5.6760, -8.5287, -1.0726]],
  "species": ["P", "O", "O", "Sn", "O", "O", "O", "O", "O", "O", "P", "Li", "P", "O", "Li", "O", "Sn", "O", "O", "O", "O", "Sn", "P", "O", "O", "O", "O", "P", "O", "P", "O", "Sn"],
  "fractional_positions": [[0.9135, 0.0865, 0.2500], [0.1808, 0.8156, 0.6295], [0.8041, 0.5322, 0.2931], [0.2721, 0.3676, 0.1090], [0.8192, 0.1844, 0.3705], [0.3192, 0.7815, 0.0628], [0.2185, 0.6808, 0.4372], [0.8156, 0.1808, 0.1295], [0.8815, 0.8812, 0.3285], [0.9109, 0.6503, 0.6643], [0.0865, 0.9135, 0.7500], [0.1835, 0.8165, 0.2500], [0.1221, 0.6438, 0.6049], [0.5322, 0.8041, 0.7931], [0.8165, 0.1835, 0.7500], [0.1959, 0.4678, 0.7069], [0.6324, 0.7279, 0.3910], [0.6503, 0.9109, 0.1643], [0.4678, 0.1959, 0.2069], [0.1188, 0.1185, 0.1715], [0.7815, 0.3192, 0.5628], [0.7279, 0.6324, 0.8910], [0.6438, 0.1221, 0.1049], [0.6808, 0.2185, 0.9372], [0.3497, 0.0891, 0.8357], [0.8812, 0.8815, 0.8285], [0.1185, 0.1188, 0.6715], [0.8779, 0.3562, 0.3951], [0.0891, 0.3497, 0.3357], [0.3562, 0.8779, 0.8951], [0.1844, 0.8192, 0.8705], [0.3676, 0.2721, 0.6090]]
}

Unit: meV per atom. Relative energies: 1) 8; 2) 0.

1) {
  "formula": "Li3Sn2P3O12",
  "functional": "GGA-PBE",
  "state": "relaxed",
  "lattice": [[-1.9791, 3.0587, 8.4161], [-8.2161, -4.0777, -0.4501], [4.8295, -10.2531, 4.7304]],
  "species": ["Li", "Li", "O", "O", "Li", "P", "O", "P", "O", "Li", "O", "O", "Sn", "O", "O", "Sn", "Sn", "O", "P", "O", "Li", "O", "Li", "O", "P", "O", "O", "P", "O", "Li", "O", "P", "P", "O", "O", "Li", "O", "Sn", "Li", "O", "O", "O", "Li", "O", "O", "O", "O", "O", "Li", "P", "O", "O", "O", "P", "Sn", "O", "O", "O", "O", "O", "O", "O", "O", "Li", "Sn", "O", "O", "O", "O", "P", "P", "Sn", "O", "O", "P", "Sn", "O", "O", "O", "O"],
  "fractional_positions": [[0.5000, 0.5000, 0.5000], [0.0000, 0.0000, 0.5000], [0.5544, 0.3701, 0.6530], [0.1093, 0.7643, 0.3150], [0.5000, 0.4021, 0.2500], [0.6502, 0.1508, 0.1085], [0.4456, 0.6299, 0.3470], [0.3498, 0.8492, 0.8915], [0.4861, 0.9491, 0.8862], [0.0000, 0.8360, 0.7500], [0.6332, 0.8202, 0.2804], [0.6888, 0.3867, 0.3219], [0.1671, 0.5186, 0.8319], [0.7433, 0.8974, 0.5083], [0.0729, 0.9621, 0.1629], [0.7012, 0.0025, 0.3593], [0.8329, 0.5186, 0.6681], [0.2459, 0.1805, 0.0452], [0.2008, 0.3368, 0.0919], [0.4456, 0.3701, 0.8470], [0.5000, 0.5000, 0.0000], [0.3668, 0.8202, 0.2196], [0.5000, 0.5979, 0.7500], [0.5544, 0.6299, 0.1530], [0.0000, 0.8529, 0.2500], [0.3822, 0.6860, 0.8952], [0.6888, 0.6133, 0.8219], [0.6502, 0.8492, 0.6085], [0.4861, 0.0509, 0.3862], [0.7094, 0.2130, 0.6117], [0.8907, 0.7643, 0.1850], [0.5000, 0.7199, 0.2500], [0.2008, 0.6632, 0.5919], [0.2567, 0.8974, 0.9917], [0.0729, 0.0379, 0.6629], [0.0000, 0.0000, 0.0000], [0.7896, 0.4414, 0.5051], [0.7012, 0.9975, 0.8593], [0.2906, 0.2130, 0.8883], [0.7433, 0.1026, 0.0083], [0.2104, 0.5586, 0.4949], [0.7896, 0.5586, 0.0051], [0.0000, 0.1640, 0.2500], [0.2539, 0.1114, 0.2884], [0.2567, 0.1026, 0.4917], [0.8907, 0.2357, 0.6850], [0.9547, 0.6828, 0.8632], [0.3822, 0.3140, 0.3952], [0.7094, 0.7870, 0.1117], [0.3498, 0.1508, 0.3915], [0.3112, 0.3867, 0.1781], [0.2104, 0.4414, 0.9949], [0.6178, 0.3140, 0.1048], [0.7992, 0.6632, 0.9081], [0.2988, 0.0025, 0.1407], [0.2459, 0.8195, 0.5452], [0.9271, 0.0379, 0.8371], [0.3668, 0.1798, 0.7196], [0.9271, 0.9621, 0.3371], [0.7541, 0.1805, 0.4548], [0.2539, 0.8886, 0.7884], [0.7541, 0.8195, 0.9548], [0.6332, 0.1798, 0.7804], [0.2906, 0.7870, 0.3883], [0.2988, 0.9975, 0.6407], [0.5139, 0.0509, 0.1138], [0.0453, 0.6828, 0.6368], [0.6178, 0.6860, 0.6048], [0.5139, 0.9491, 0.6138], [0.5000, 0.2801, 0.7500], [0.0000, 0.1471, 0.7500], [0.1671, 0.4814, 0.3319], [0.0453, 0.3172, 0.1368], [0.3112, 0.6133, 0.6781], [0.7992, 0.3368, 0.4081], [0.8329, 0.4814, 0.1681], [0.1093, 0.2357, 0.8150], [0.7461, 0.1114, 0.2116], [0.9547, 0.3172, 0.3632], [0.7461, 0.8886, 0.7116]]
}

2) {
  "formula": "Li3Sn2P3O12",
  "functional": "GGA-PBE",
  "state": "relaxed",
  "lattice": [[8.4937, 0.0000, 0.0000], [4.2468, 7.3557, 0.0000], [4.2468, 2.4519, 9.5922]],
  "species": ["P", "O", "O", "O", "O", "Sn", "Li", "O", "O", "O", "O", "O", "O", "O", "Li", "O", "O", "P", "Sn", "O", "Li", "O", "O", "Li", "Li", "O", "Sn", "O", "P", "P", "O", "O", "P", "O", "O", "Sn", "O", "P", "O", "Li"],
  "fractional_positions": [[0.5321, 0.3030, 0.2162], [0.9793, 0.3483, 0.3353], [0.6517, 0.6629, 0.6647], [0.7919, 0.8531, 0.8836], [0.8231, 0.1516, 0.7361], [0.3350, 0.3350, 0.9951], [0.3683, 0.0750, 0.7816], [0.6629, 0.0207, 0.6647], [0.8484, 0.7108, 0.2639], [0.1516, 0.2892, 0.7361], [0.2081, 0.1469, 0.1164], [0.5095, 0.5092, 0.1335], [0.3483, 0.3371, 0.3353], [0.5285, 0.2081, 0.1164], [0.9250, 0.2249, 0.2184], [0.5092, 0.8478, 0.1335], [0.4905, 0.4908, 0.8665], [0.9486, 0.5321, 0.2162], [0.6650, 0.6650, 0.0049], [0.3371, 0.9793, 0.3353], [0.2249, 0.6317, 0.2184], [0.4715, 0.7919, 0.8836], [0.1522, 0.4905, 0.8665], [0.7751, 0.3683, 0.7816], [0.6317, 0.9250, 0.2184], [0.7108, 0.1769, 0.2639], [0.8231, 0.8231, 0.5308], [0.1769, 0.8484, 0.2639], [0.4679, 0.6970, 0.7838], [0.0514, 0.4679, 0.7838], [0.4908, 0.1522, 0.8665], [0.2892, 0.8231, 0.7361], [0.6970, 0.0514, 0.7838], [0.0207, 0.6517, 0.6647], [0.8531, 0.4715, 0.8836], [0.1769, 0.1769, 0.4692], [0.8478, 0.5095, 0.1335], [0.3030, 0.9486, 0.2162], [0.1469, 0.5285, 0.1164], [0.0750, 0.7751, 0.7816]]
}

3) {
  "formula": "Li3Sn2P3O12",
  "functional": "GGA-PBE",
  "state": "relaxed",
  "lattice": [[-2.6905, 4.2749, -0.1400], [-4.3627, -0.4464, -2.5102], [-9.4304, -5.3650, 17.3404]],
  "species": ["O", "O", "O", "P", "Sn", "Sn", "O", "O", "O", "O", "O", "O", "P", "Li", "P", "O", "Li", "O", "Li", "O", "O", "Li", "O", "Li", "O", "O", "O", "O", "O", "O", "O", "Sn", "P", "P", "O", "Li", "O", "O", "Sn", "P"],
  "fractional_positions": [[0.6867, 0.2376, 0.2528], [0.7613, 0.7613, 0.8056], [0.2376, 0.6867, 0.2528], [0.6561, 0.6561, 0.7434], [0.0000, 0.0000, 0.0000], [0.0000, 0.0000, 0.5000], [0.7617, 0.7617, 0.3607], [0.6946, 0.2473, 0.5897], [0.2356, 0.6998, 0.8924], [0.2525, 0.2525, 0.8313], [0.7644, 0.3001, 0.1076], [0.2383, 0.2383, 0.6393], [0.6421, 0.6421, 0.4170], [0.3330, 0.3330, 0.4123], [0.3579, 0.3579, 0.5830], [0.2473, 0.6946, 0.5897], [0.3360, 0.3360, 0.7241], [0.2477, 0.2477, 0.3183], [0.9965, 0.9965, 0.3488], [0.7336, 0.7336, 0.0417], [0.7527, 0.3054, 0.4103], [0.0035, 0.0035, 0.6512], [0.2814, 0.2814, 0.5143], [0.6670, 0.6670, 0.5877], [0.3054, 0.7527, 0.4103], [0.7523, 0.7523, 0.6817], [0.2387, 0.2387, 0.1944], [0.2664, 0.2664, 0.9583], [0.7475, 0.7475, 0.1687], [0.7624, 0.3133, 0.7472], [0.3001, 0.7644, 0.1076], [0.9963, 0.9963, 0.1809], [0.3578, 0.3578, 0.8946], [0.6422, 0.6422, 0.1054], [0.3133, 0.7624, 0.7472], [0.6640, 0.6640, 0.2759], [0.6998, 0.2356, 0.8924], [0.7186, 0.7186, 0.4857], [0.0037, 0.0037, 0.8191], [0.3439, 0.3439, 0.2566]]
}

Unit: meV per atom. Relative energies: 1) 42; 2) 0; 3) 56.

1) {
  "formula": "SrLiPO2",
  "functional": "GGA-PBE",
  "state": "relaxed",
  "lattice": [[-0.2856, 4.1714, 0.4303], [-3.5548, -0.0120, -2.2429], [-2.1633, -0.5020, 3.4313]],
  "species": ["P", "Li", "Sr", "O", "O"],
  "fractional_positions": [[0.0000, 0.0000, 0.5000], [0.0000, 0.0000, 0.0000], [0.5000, 0.5000, 0.5000], [0.5000, 0.0000, 0.0000], [0.0000, 0.5000, 0.0000]]
}

2) {
  "formula": "SrLiPO2",
  "functional": "GGA-PBE",
  "state": "relaxed",
  "lattice": [[4.6886, 0.0000, 0.0000], [0.0000, 4.6886, 0.0000], [0.0000, 0.0000, 6.0500]],
  "species": ["O", "O", "P", "Li", "Sr"],
  "fractional_positions": [[0.0000, 0.5000, 0.0000], [0.5000, 0.0000, 0.0000], [0.0000, 0.0000, 0.5000], [0.5000, 0.5000, 0.5000], [0.0000, 0.0000, 0.0000]]
}

Unit: meV per atom. Relative energies: 1) 0; 2) 458.

1) {
  "formula": "SrLiPO4",
  "functional": "GGA-PBE",
  "state": "relaxed",
  "lattice": [[-0.2466, 2.1613, 4.9315], [-4.7235, 0.2970, 2.5791], [-0.9379, -3.1439, 4.2764]],
  "species": ["Li", "P", "Sr", "O", "O", "O", "O"],
  "fractional_positions": [[0.5000, 0.5000, 0.5000], [0.2500, 0.2500, 0.2500], [0.7500, 0.7500, 0.7500], [0.3665, 0.9004, 0.3665], [0.3665, 0.3665, 0.3665], [0.3665, 0.3665, 0.9004], [0.9004, 0.3665, 0.3665]]
}

2) {
  "formula": "SrLiPO4",
  "functional": "GGA-PBE",
  "state": "relaxed",
  "lattice": [[2.5412, -4.4015, 0.0000], [2.5412, 4.4015, 0.0000], [0.0000, 0.0000, 8.4198]],
  "species": ["O", "O", "O", "P", "Li", "O", "Li", "O", "Sr", "O", "P", "O", "O", "Sr"],
  "fractional_positions": [[0.6667, 0.3333, 0.9556], [0.6392, 0.9407, 0.2153], [0.6985, 0.6392, 0.7153], [0.6667, 0.3333, 0.7715], [0.3333, 0.6667, 0.6763], [0.3015, 0.3608, 0.2153], [0.6667, 0.3333, 0.1763], [0.0593, 0.6985, 0.2153], [0.0000, 0.0000, 0.4794], [0.9407, 0.3015, 0.7153], [0.3333, 0.6667, 0.2715], [0.3333, 0.6667, 0.4556], [0.3608, 0.0593, 0.7153], [0.0000, 0.0000, 0.9794]]
}

Unit: meV per atom. Relative energies: 1) 208; 2) 0.

1) {
  "formula": "LiTaPO2",
  "functional": "GGA-PBE",
  "state": "relaxed",
  "lattice": [[3.9040, 0.0000, 0.0000], [0.0000, 3.9040, 0.0000], [0.0000, 0.0000, 5.2498]],
  "species": ["O", "Li", "P", "O", "Ta"],
  "fractional_positions": [[0.5000, 0.0000, 0.0000], [0.5000, 0.5000, 0.5000], [0.0000, 0.0000, 0.5000], [0.0000, 0.5000, 0.0000], [0.0000, 0.0000, 0.0000]]
}

2) {
  "formula": "LiTaPO2",
  "functional": "GGA-PBE",
  "state": "relaxed",
  "lattice": [[-2.1362, -2.0472, -2.1140], [2.4513, 0.2074, -2.6779], [1.8626, -3.4298, 1.4392]],
  "species": ["Li", "Ta", "P", "O", "O"],
  "fractional_positions": [[0.0000, 0.0000, 0.0000], [0.5000, 0.5000, 0.5000], [0.0000, 0.0000, 0.5000], [0.0000, 0.5000, 0.0000], [0.5000, 0.0000, 0.0000]]
}

Unit: meV per atom. Relative energies: 1) 0; 2) 1336.

1) {
  "formula": "LiTb2P2O8",
  "functional": "GGA-PBE",
  "state": "relaxed",
  "lattice": [[0.3858, -5.1258, 3.1745], [0.4618, -0.2483, -6.0187], [5.3562, -1.9366, -0.9832]],
  "species": ["O", "P", "O", "P", "Li", "O", "Tb", "Tb", "O", "O", "O", "O", "O"],
  "fractional_positions": [[0.2167, 0.3028, 0.1665], [0.3747, 0.6253, 0.0000], [0.2271, 0.6426, 0.8155], [0.6330, 0.3670, 0.5000], [0.3923, 0.6077, 0.5000], [0.6972, 0.7833, 0.8335], [0.1076, 0.8924, 0.5000], [0.8732, 0.1268, 0.0000], [0.7914, 0.3691, 0.6721], [0.7740, 0.6902, 0.3312], [0.6309, 0.2086, 0.3279], [0.3574, 0.7729, 0.1845], [0.3098, 0.2260, 0.6688]]
}

2) {
  "formula": "LiTb2P2O8",
  "functional": "GGA-PBE",
  "state": "relaxed",
  "lattice": [[3.5032, 4.6254, -0.0340], [-3.5032, 4.6254, -0.0340], [0.0000, 3.6479, 4.9576]],
  "species": ["O", "Tb", "P", "O", "O", "Tb", "O", "O", "O", "O", "O", "Li", "P"],
  "fractional_positions": [[0.4104, 0.0521, 0.3053], [0.7217, 0.6990, 0.3969], [0.2387, 0.2416, 0.1443], [0.0717, 0.4095, 0.3097], [0.8909, 0.9287, 0.8937], [0.3010, 0.2783, 0.6031], [0.5905, 0.9283, 0.6903], [0.9479, 0.5896, 0.6947], [0.0713, 0.1091, 0.1063], [0.6011, 0.5653, 0.1447], [0.4347, 0.3989, 0.8553], [0.7428, 0.2572, 0.0000], [0.7584, 0.7613, 0.8557]]
}

Unit: meV per atom. Relative energies: 1) 15; 2) 0.